# 1
B3IBr after structural relaxation, computed with PBE.

Uncorrected energy, Ry per atom: -0.1567
Formation energy (no corrections), meV per atom: 2520
Symmetry: Pm-3m, No. 221

abc: 4.797 4.797 4.797
angles: 90.00 90.00 90.00
Sites, in units of the cell vectors:
B  0.000  0.000  0.500
B  0.000  0.500  0.000
B  0.500  0.000  0.000
I  0.500  0.500  0.500
Br  0.000  0.000  0.000


# 2
BI2Br after structural relaxation, computed with PBE.

Uncorrected energy, Ry per atom: -0.1736
Formation energy (no corrections), meV per atom: 501
Symmetry: I-42d, No. 122

abc: 7.282 7.282 8.752
angles: 90.00 90.00 90.00
Sites, in units of the cell vectors:
B  0.000  0.000  0.000
B  0.000  0.500  0.250
B  0.500  0.000  0.750
B  0.500  0.500  0.500
I  0.136  0.750  0.125
I  0.250  0.136  0.875
I  0.250  0.364  0.375
I  0.364  0.750  0.625
I  0.636  0.250  0.625
I  0.750  0.636  0.375
I  0.750  0.864  0.875
I  0.864  0.250  0.125
Br  0.000  0.000  0.500
Br  0.000  0.500  0.750
Br  0.500  0.000  0.250
Br  0.500  0.500  0.000


# 3
BIBr3 after structural relaxation, computed with PBE.

Uncorrected energy, Ry per atom: -0.2103
Formation energy (no corrections), meV per atom: -212
Symmetry: P1, No. 1

abc: 7.408 7.982 8.242
angles: 70.83 89.69 89.66
Sites, in units of the cell vectors:
B  0.000  0.000  0.000
B  0.234  0.499  0.499
I  0.305  0.959  0.962
I  0.929  0.460  0.463
Br  0.270  0.652  0.639
Br  0.353  0.256  0.591
Br  0.353  0.585  0.263
Br  0.881  0.087  0.764
Br  0.881  0.757  0.093
Br  0.964  0.153  0.140


Please write out number 2 again, unchanged.
BI2Br after structural relaxation, computed with PBE.

Uncorrected energy, Ry per atom: -0.1736
Formation energy (no corrections), meV per atom: 501
Symmetry: I-42d, No. 122

abc: 7.282 7.282 8.752
angles: 90.00 90.00 90.00
Sites, in units of the cell vectors:
B  0.000  0.000  0.000
B  0.000  0.500  0.250
B  0.500  0.000  0.750
B  0.500  0.500  0.500
I  0.136  0.750  0.125
I  0.250  0.136  0.875
I  0.250  0.364  0.375
I  0.364  0.750  0.625
I  0.636  0.250  0.625
I  0.750  0.636  0.375
I  0.750  0.864  0.875
I  0.864  0.250  0.125
Br  0.000  0.000  0.500
Br  0.000  0.500  0.750
Br  0.500  0.000  0.250
Br  0.500  0.500  0.000